A plane-wave DFT calculation with PBE-GGA was carried out for SrLa2ZnRu after structural relaxation.

Results
- DOS at the Fermi energy: 0.967 states/eV/atom
- E_form: -0.031 eV per atom
- Energy relative to the lowest polymorph listed for this composition: 78 meV/atom
- Space-group type: P4/mmm

The structure in CIF format:
```
data_SrLa2ZnRu
_chemical_formula_sum 'Sr1 La2 Zn1 Ru1'
_space_group_name_H-M_alt 'P 1'
_space_group_IT_number 1
_space_group_name_Hall 'P 1'
_cell_length_a 5.3548
_cell_length_b 5.3548
_cell_length_c 6.0414
_cell_angle_alpha 90.00
_cell_angle_beta 90.00
_cell_angle_gamma 90.00
loop_
_atom_site_label
_atom_site_type_symbol
_atom_site_fract_x
_atom_site_fract_y
_atom_site_fract_z
Ru1 Ru 0.0000 0.0000 0.0000
Zn1 Zn 0.5000 0.5000 0.5000
Sr1 Sr 0.0000 0.0000 0.5000
La1 La 0.0000 0.5000 0.0000
La2 La 0.5000 0.0000 0.0000
```